Record 1
Entry from OQMD: crystalline Pr4CBr4Cl at its relaxed geometry (GGA-PBE).

Lattice parameters (Å, degrees): 9.492 9.492 8.260 103.67 103.67 24.10
Element x y z (fractional)
Pr 0.001 0.001 0.286
Pr 0.358 0.358 0.418
Pr 0.642 0.642 0.582
Pr 0.999 0.999 0.714
C 0.500 0.500 0.500
Br 0.164 0.164 0.859
Br 0.170 0.170 0.327
Br 0.830 0.830 0.673
Br 0.836 0.836 0.141
Cl 0.500 0.500 0.000

=====

Record 2
Entry from OQMD: crystalline Pr4CBr2Cl3 at its relaxed geometry (GGA-PBE).

Computed properties:
* energy above the lowest structure with this stoichiometry: 0 meV/atom

Lattice parameters (Å, degrees): 9.457 9.457 8.202 105.32 105.32 24.08
Element x y z (fractional)
Pr 0.001 0.001 0.216
Pr 0.357 0.357 0.911
Pr 0.643 0.643 0.089
Pr 0.999 0.999 0.784
C 0.500 0.500 0.000
Br 0.170 0.170 0.831
Br 0.830 0.830 0.169
Cl 0.162 0.162 0.347
Cl 0.500 0.500 0.500
Cl 0.838 0.838 0.653

=====

Record 3
Entry from OQMD: crystalline Pr4CBr2Cl3 at its relaxed geometry (GGA-PBE).

Computed properties:
* energy above the lowest structure with this stoichiometry: 2 meV/atom

Lattice parameters (Å, degrees): 9.212 9.212 8.213 103.21 103.21 24.77
Element x y z (fractional)
Pr 0.003 0.003 0.286
Pr 0.355 0.355 0.419
Pr 0.645 0.645 0.581
Pr 0.997 0.997 0.714
C 0.500 0.500 0.500
Br 0.167 0.167 0.858
Br 0.833 0.833 0.142
Cl 0.171 0.171 0.343
Cl 0.500 0.500 0.000
Cl 0.829 0.829 0.657

=====

Record 4
Entry from OQMD: crystalline Pr4C2BrCl at its relaxed geometry (GGA-PBE).

Lattice parameters (Å, degrees): 3.823 3.823 14.795 90.00 90.00 120.00
Element x y z (fractional)
Pr 0.000 0.000 0.151
Pr 0.000 0.000 0.849
Pr 0.667 0.333 0.339
Pr 0.667 0.333 0.661
C 0.333 0.667 0.244
C 0.333 0.667 0.756
Br 0.000 0.000 0.500
Cl 0.667 0.333 0.000

=====

Record 5
Entry from OQMD: crystalline Pr4CBr3Cl2 at its relaxed geometry (GGA-PBE).

Lattice parameters (Å, degrees): 9.215 9.215 8.496 103.71 103.71 24.93
Element x y z (fractional)
Pr 0.003 0.003 0.294
Pr 0.354 0.354 0.418
Pr 0.646 0.646 0.582
Pr 0.997 0.997 0.706
C 0.500 0.500 0.500
Br 0.168 0.168 0.850
Br 0.500 0.500 0.000
Br 0.832 0.832 0.150
Cl 0.171 0.171 0.351
Cl 0.829 0.829 0.649

=====

Record 6
Entry from OQMD: crystalline Pr2Sc2CBr3Cl2 at its relaxed geometry (GGA-PBE).

Computed properties:
* energy above the lowest structure with this stoichiometry: 37 meV/atom

Lattice parameters (Å, degrees): 9.009 9.009 7.876 103.93 103.93 23.84
Element x y z (fractional)
Pr 0.146 0.146 0.085
Pr 0.854 0.854 0.915
Sc 0.500 0.500 0.193
Sc 0.500 0.500 0.807
C 0.000 0.000 0.000
Br 0.000 0.000 0.500
Br 0.338 0.338 0.201
Br 0.662 0.662 0.799
Cl 0.351 0.351 0.646
Cl 0.649 0.649 0.354

=====

Record 7
Entry from OQMD: crystalline Pr2Sc2CBr2Cl3 at its relaxed geometry (GGA-PBE).

Computed properties:
* energy above the lowest structure with this stoichiometry: 46 meV/atom

Lattice parameters (Å, degrees): 9.005 9.005 7.738 103.67 103.67 23.63
Element x y z (fractional)
Pr 0.146 0.146 0.086
Pr 0.854 0.854 0.914
Sc 0.500 0.500 0.198
Sc 0.500 0.500 0.802
C 0.000 0.000 0.000
Br 0.338 0.338 0.204
Br 0.662 0.662 0.796
Cl 0.000 0.000 0.500
Cl 0.352 0.352 0.641
Cl 0.648 0.648 0.359

=====

Record 8
Entry from OQMD: crystalline Pr2Sc2CBr2Cl3 at its relaxed geometry (GGA-PBE).

Computed properties:
* energy above the lowest structure with this stoichiometry: 0 meV/atom

Lattice parameters (Å, degrees): 9.240 9.240 8.323 101.48 101.48 23.37
Element x y z (fractional)
Pr 0.003 0.003 0.286
Pr 0.997 0.997 0.714
Sc 0.373 0.373 0.439
Sc 0.627 0.627 0.561
C 0.500 0.500 0.500
Br 0.167 0.167 0.804
Br 0.833 0.833 0.196
Cl 0.166 0.166 0.373
Cl 0.500 0.500 0.000
Cl 0.834 0.834 0.627

=====

Record 9
Entry from OQMD: crystalline Pr2Sc2CBr3Cl2 at its relaxed geometry (GGA-PBE).

Computed properties:
* energy above the lowest structure with this stoichiometry: 46 meV/atom

Lattice parameters (Å, degrees): 8.883 8.883 7.913 105.08 105.08 24.25
Element x y z (fractional)
Pr 0.149 0.149 0.087
Pr 0.851 0.851 0.913
Sc 0.499 0.499 0.192
Sc 0.501 0.501 0.808
C 0.000 0.000 0.000
Br 0.000 0.000 0.500
Br 0.341 0.341 0.623
Br 0.659 0.659 0.377
Cl 0.341 0.341 0.180
Cl 0.659 0.659 0.820

=====

Record 10
Entry from OQMD: crystalline Pr2Sc2CBr2Cl3 at its relaxed geometry (GGA-PBE).

Computed properties:
* energy above the lowest structure with this stoichiometry: 57 meV/atom

Lattice parameters (Å, degrees): 8.860 8.860 7.776 104.77 104.77 24.06
Element x y z (fractional)
Pr 0.149 0.149 0.088
Pr 0.851 0.851 0.912
Sc 0.499 0.499 0.197
Sc 0.501 0.501 0.803
C 0.000 0.000 0.000
Br 0.342 0.342 0.618
Br 0.658 0.658 0.382
Cl 0.000 0.000 0.500
Cl 0.341 0.341 0.185
Cl 0.659 0.659 0.815

=====

Record 11
Entry from OQMD: crystalline Pr2Sc2CBr3Cl2 at its relaxed geometry (GGA-PBE).

Computed properties:
* energy above the lowest structure with this stoichiometry: 0 meV/atom

Lattice parameters (Å, degrees): 9.060 9.060 8.634 102.66 102.66 24.03
Element x y z (fractional)
Pr 0.001 0.001 0.294
Pr 0.999 0.999 0.706
Sc 0.370 0.370 0.438
Sc 0.630 0.630 0.562
C 0.500 0.500 0.500
Br 0.172 0.172 0.797
Br 0.500 0.500 0.000
Br 0.828 0.828 0.203
Cl 0.168 0.168 0.382
Cl 0.832 0.832 0.618

=====

Record 12
Entry from OQMD: crystalline Pr2Sm2C2Br2Cl3 at its relaxed geometry (GGA-PBE).

Lattice parameters (Å, degrees): 9.854 9.854 7.974 104.16 104.16 22.86
Element x y z (fractional)
Pr 0.001 0.001 0.212
Pr 0.999 0.999 0.788
Sm 0.344 0.344 0.894
Sm 0.656 0.656 0.106
C 0.462 0.462 0.976
C 0.538 0.538 0.024
Br 0.169 0.169 0.832
Br 0.831 0.831 0.168
Cl 0.160 0.160 0.356
Cl 0.500 0.500 0.500
Cl 0.840 0.840 0.644

=====

Record 13
Entry from OQMD: crystalline Pr2Sm2CBr2Cl3 at its relaxed geometry (GGA-PBE).

Computed properties:
* energy above the lowest structure with this stoichiometry: 2 meV/atom

Lattice parameters (Å, degrees): 9.079 9.079 8.215 102.45 102.45 24.94
Element x y z (fractional)
Pr 0.003 0.003 0.287
Pr 0.997 0.997 0.713
Sm 0.357 0.357 0.423
Sm 0.643 0.643 0.577
C 0.500 0.500 0.500
Br 0.169 0.169 0.846
Br 0.831 0.831 0.154
Cl 0.174 0.174 0.350
Cl 0.500 0.500 0.000
Cl 0.826 0.826 0.650

=====

Record 14
Entry from OQMD: crystalline Pr2Sm2C2Br4Cl at its relaxed geometry (GGA-PBE).

Lattice parameters (Å, degrees): 9.896 9.896 8.079 103.47 103.47 22.81
Element x y z (fractional)
Pr 0.000 0.000 0.210
Pr 0.000 0.000 0.790
Sm 0.345 0.345 0.902
Sm 0.655 0.655 0.098
C 0.463 0.463 0.978
C 0.537 0.537 0.022
Br 0.162 0.162 0.369
Br 0.169 0.169 0.830
Br 0.831 0.831 0.170
Br 0.838 0.838 0.631
Cl 0.500 0.500 0.500

=====

Record 15
Entry from OQMD: crystalline Pr2Sm2CBr3Cl2 at its relaxed geometry (GGA-PBE).

Computed properties:
* energy above the lowest structure with this stoichiometry: 4 meV/atom

Lattice parameters (Å, degrees): 9.115 9.115 8.328 103.66 103.66 24.76
Element x y z (fractional)
Pr 0.147 0.147 0.080
Pr 0.853 0.853 0.920
Sm 0.498 0.498 0.204
Sm 0.502 0.502 0.796
C 0.000 0.000 0.000
Br 0.000 0.000 0.500
Br 0.335 0.335 0.644
Br 0.665 0.665 0.356
Cl 0.332 0.332 0.163
Cl 0.668 0.668 0.837

=====

Record 16
Entry from OQMD: crystalline Pr2Sm2CBr2Cl3 at its relaxed geometry (GGA-PBE).

Computed properties:
* energy above the lowest structure with this stoichiometry: 0 meV/atom

Lattice parameters (Å, degrees): 9.299 9.299 8.194 103.27 103.27 24.29
Element x y z (fractional)
Pr 0.000 0.000 0.215
Pr 0.000 0.000 0.785
Sm 0.360 0.360 0.922
Sm 0.640 0.640 0.078
C 0.500 0.500 0.000
Br 0.173 0.173 0.831
Br 0.827 0.827 0.169
Cl 0.162 0.162 0.326
Cl 0.500 0.500 0.500
Cl 0.838 0.838 0.674

=====

Record 17
Entry from OQMD: crystalline Pr2Sm2CBr4Cl at its relaxed geometry (GGA-PBE).

Computed properties:
* energy above the lowest structure with this stoichiometry: 0 meV/atom

Lattice parameters (Å, degrees): 9.362 9.362 8.217 103.07 103.07 24.29
Element x y z (fractional)
Pr 0.001 0.001 0.286
Pr 0.999 0.999 0.714
Sm 0.361 0.361 0.423
Sm 0.639 0.639 0.577
C 0.500 0.500 0.500
Br 0.167 0.167 0.848
Br 0.173 0.173 0.334
Br 0.827 0.827 0.666
Br 0.833 0.833 0.152
Cl 0.500 0.500 0.000

=====

Record 18
Entry from OQMD: crystalline Pr2Sm2CBr3Cl2 at its relaxed geometry (GGA-PBE).

Computed properties:
* energy above the lowest structure with this stoichiometry: 0 meV/atom

Lattice parameters (Å, degrees): 9.333 9.333 8.278 104.80 104.80 24.17
Element x y z (fractional)
Pr 0.144 0.144 0.086
Pr 0.856 0.856 0.914
Sm 0.499 0.499 0.794
Sm 0.501 0.501 0.206
C 0.000 0.000 0.000
Br 0.000 0.000 0.500
Br 0.333 0.333 0.176
Br 0.667 0.667 0.824
Cl 0.341 0.341 0.656
Cl 0.659 0.659 0.344

=====

Record 19
Entry from OQMD: crystalline Pr2Sm2CBr3Cl2 at its relaxed geometry (GGA-PBE).

Computed properties:
* energy above the lowest structure with this stoichiometry: 0 meV/atom

Lattice parameters (Å, degrees): 9.074 9.074 8.499 103.04 103.04 25.14
Element x y z (fractional)
Pr 0.003 0.003 0.294
Pr 0.997 0.997 0.706
Sm 0.356 0.356 0.423
Sm 0.644 0.644 0.577
C 0.500 0.500 0.500
Br 0.171 0.171 0.837
Br 0.500 0.500 0.000
Br 0.829 0.829 0.163
Cl 0.174 0.174 0.359
Cl 0.826 0.826 0.641

=====

Record 20
Entry from OQMD: crystalline Pr2Sm2C2Br3Cl2 at its relaxed geometry (GGA-PBE).

Lattice parameters (Å, degrees): 9.859 9.859 8.228 104.41 104.41 23.01
Element x y z (fractional)
Pr 0.001 0.001 0.204
Pr 0.999 0.999 0.796
Sm 0.344 0.344 0.895
Sm 0.656 0.656 0.105
C 0.462 0.462 0.976
C 0.538 0.538 0.024
Br 0.169 0.169 0.840
Br 0.500 0.500 0.500
Br 0.831 0.831 0.160
Cl 0.160 0.160 0.346
Cl 0.840 0.840 0.654

=====

Record 21
Entry from OQMD: crystalline Pr2Sm2CBr4Cl at its relaxed geometry (GGA-PBE).

Computed properties:
* energy above the lowest structure with this stoichiometry: 4 meV/atom

Lattice parameters (Å, degrees): 9.376 9.376 8.154 103.62 103.62 23.98
Element x y z (fractional)
Pr 0.143 0.143 0.081
Pr 0.857 0.857 0.919
Sm 0.499 0.499 0.211
Sm 0.501 0.501 0.789
C 0.000 0.000 0.000
Br 0.332 0.332 0.184
Br 0.338 0.338 0.637
Br 0.662 0.662 0.363
Br 0.668 0.668 0.816
Cl 0.000 0.000 0.500

=====

Record 22
Entry from OQMD: crystalline Pr2Sm2CBr3Cl2 at its relaxed geometry (GGA-PBE).

Computed properties:
* energy above the lowest structure with this stoichiometry: 0 meV/atom

Lattice parameters (Å, degrees): 9.342 9.342 8.472 104.33 104.33 24.40
Element x y z (fractional)
Pr 0.001 0.001 0.208
Pr 0.999 0.999 0.792
Sm 0.360 0.360 0.919
Sm 0.640 0.640 0.081
C 0.500 0.500 0.000
Br 0.171 0.171 0.845
Br 0.500 0.500 0.500
Br 0.829 0.829 0.155
Cl 0.163 0.163 0.321
Cl 0.837 0.837 0.679

=====

| no. | raw total energy (eV/cell) |
| --- | --- |
| 1 | -51.635 |
| 2 | -53.004 |
| 3 | -52.983 |
| 4 | -48.519 |
| 5 | -52.342 |
| 6 | -54.872 |
| 7 | -55.457 |
| 8 | -55.920 |
| 9 | -54.776 |
| 10 | -55.348 |
| 11 | -55.237 |
| 12 | -62.923 |
| 13 | -52.955 |
| 14 | -61.567 |
| 15 | -52.269 |
| 16 | -52.973 |
| 17 | -51.584 |
| 18 | -52.303 |
| 19 | -52.307 |
| 20 | -62.244 |
| 21 | -51.540 |
| 22 | -52.303 |